1.
The following is a PBE calculation of a relaxed CsK2CdBi2 crystal, from Alexandria via LeMat-Bulk.

Geometry as POSCAR:
```
CsK2CdBi2
1.0
-5.0022 7.2525 3.8805
5.0022 -7.2525 3.8805
5.0022 7.2525 -3.8805
Cs K Cd Bi
2 4 2 4
Direct
0.2500 0.2500 0.0000 Cs
0.7500 0.7500 0.0000 Cs
0.1764 0.6608 0.8373 K
0.3236 0.1608 0.4844 K
0.6764 0.8392 0.5156 K
0.8236 0.3392 0.1627 K
0.2500 0.7500 0.5000 Cd
0.7500 0.2500 0.5000 Cd
0.0981 0.3152 0.4133 Bi
0.4019 0.8152 0.2171 Bi
0.5981 0.1848 0.7829 Bi
0.9019 0.6848 0.5867 Bi
```

Properties
Energy relative to the elements ... -270 meV per atom
D(E_F) ... 1.14 states/eV/atom



2.
The following is a PBE calculation of a relaxed PrTm3Hg2 crystal, from Alexandria via LeMat-Bulk.

Geometry as POSCAR:
```
PrTm3Hg2
1.0
5.0653 0.0000 0.0000
0.0000 9.2492 0.0000
0.0000 0.0000 7.1567
Pr Tm Hg
2 6 4
Direct
0.0000 0.0571 0.0000 Pr
0.0000 0.9429 0.5000 Pr
0.0000 0.3298 0.6490 Tm
0.0000 0.6702 0.1490 Tm
0.5000 0.1832 0.3182 Tm
0.5000 0.4420 0.9665 Tm
0.5000 0.5580 0.4665 Tm
0.5000 0.8168 0.8182 Tm
0.0000 0.3568 0.2278 Hg
0.0000 0.6432 0.7278 Hg
0.5000 0.1509 0.7386 Hg
0.5000 0.8491 0.2386 Hg
```

Properties
E above lowest polymorph ... 0 meV/atom
Energy relative to the elements ... -341 meV per atom
D(E_F) ... 0.52 states/eV/atom



3.
The following is a PBE calculation of a relaxed Cs2Ag crystal, from Alexandria via LeMat-Bulk.

Geometry as POSCAR:
```
Cs2Ag
1.0
5.1976 0.0000 0.0000
0.0089 7.8764 0.0000
2.5384 1.9493 9.8173
Cs Ag
4 2
Direct
0.0980 0.2880 0.3133 Cs
0.3322 0.1874 0.8334 Cs
0.6678 0.8126 0.1666 Cs
0.9020 0.7120 0.6867 Cs
0.2603 0.5879 0.9788 Ag
0.7397 0.4121 0.0212 Ag
```

Properties
E above lowest polymorph ... 0 meV/atom
Energy relative to the elements ... 13 meV per atom
D(E_F) ... 0.60 states/eV/atom



4.
The following is a PBE calculation of a relaxed Pr2RhI crystal, from Alexandria via LeMat-Bulk.

Geometry as POSCAR:
```
Pr2RhI
1.0
2.1045 1.2150 8.2201
-2.1045 1.2150 8.2201
0.0000 -2.4300 8.2201
Pr Rh I
2 1 1
Direct
0.2285 0.2285 0.2285 Pr
0.7715 0.7715 0.7715 Pr
0.5000 0.5000 0.5000 Rh
0.0000 0.0000 0.0000 I
```

Properties
ΔE_f (raw) ... -936 meV per atom
E above lowest polymorph ... 0 meV/atom
D(E_F) ... 0.22 states/eV/atom



5.
The following is a PBE calculation of a relaxed NiRuBr2 crystal, from Alexandria via LeMat-Bulk.

Geometry as POSCAR:
```
NiRuBr2
1.0
4.5718 0.0000 0.0000
0.0000 4.5718 0.0000
0.0000 0.0000 3.2112
Ni Ru Br
1 1 2
Direct
0.0000 0.0000 0.0000 Ni
0.5000 0.5000 0.0000 Ru
0.0000 0.5000 0.5000 Br
0.5000 0.0000 0.5000 Br
```

Properties
ΔE_f (raw) ... 823 meV per atom
E above lowest polymorph ... 650 meV/atom
D(E_F) ... 1.28 states/eV/atom



6.
The following is a PBE calculation of a relaxed Pr2CuGe2Rh5 crystal, from Alexandria via LeMat-Bulk.

Geometry as POSCAR:
```
Pr2CuGe2Rh5
1.0
9.9390 0.0000 0.0000
0.0000 9.9390 0.0000
0.0000 0.0000 3.5778
Pr Cu Ge Rh
4 2 4 10
Direct
0.1747 0.3253 0.0000 Pr
0.3253 0.8253 0.0000 Pr
0.6747 0.1747 0.0000 Pr
0.8253 0.6747 0.0000 Pr
0.0000 0.0000 0.0000 Cu
0.5000 0.5000 0.0000 Cu
0.1249 0.6249 0.0000 Ge
0.3751 0.1249 0.0000 Ge
0.6249 0.8751 0.0000 Ge
0.8751 0.3751 0.0000 Ge
0.0000 0.5000 0.5000 Rh
0.0640 0.7942 0.5000 Rh
0.2058 0.0640 0.5000 Rh
0.2942 0.5640 0.5000 Rh
0.4360 0.2942 0.5000 Rh
0.5000 0.0000 0.5000 Rh
0.5640 0.7058 0.5000 Rh
0.7058 0.4360 0.5000 Rh
0.7942 0.9360 0.5000 Rh
0.9360 0.2058 0.5000 Rh
```

Properties
Energy relative to the elements ... -558 meV per atom
D(E_F) ... 0.43 states/eV/atom



7.
The following is a PBE calculation of a relaxed La12MgPb3 crystal, from Alexandria via LeMat-Bulk.

Geometry as POSCAR:
```
La12MgPb3
1.0
5.1050 0.0000 0.0000
0.0000 5.1050 0.0000
0.0000 0.0000 20.2293
La Mg Pb
12 1 3
Direct
0.0000 0.0000 0.0000 La
0.0000 0.0000 0.2493 La
0.0000 0.0000 0.5000 La
0.0000 0.0000 0.7507 La
0.0000 0.5000 0.1265 La
0.0000 0.5000 0.3757 La
0.0000 0.5000 0.6243 La
0.0000 0.5000 0.8735 La
0.5000 0.0000 0.1265 La
0.5000 0.0000 0.3757 La
0.5000 0.0000 0.6243 La
0.5000 0.0000 0.8735 La
0.5000 0.5000 0.0000 Mg
0.5000 0.5000 0.2502 Pb
0.5000 0.5000 0.5000 Pb
0.5000 0.5000 0.7498 Pb
```

Properties
Energy relative to the elements ... -295 meV per atom
D(E_F) ... 1.45 states/eV/atom



8.
The following is a PBE calculation of a relaxed HoErPd crystal, from Alexandria via LeMat-Bulk.

Geometry as POSCAR:
```
HoErPd
1.0
7.0110 0.0000 0.0000
0.0000 6.6620 0.0000
-1.8570 0.0000 7.0854
Ho Er Pd
4 4 4
Direct
0.0647 0.2502 0.0161 Ho
0.0647 0.2498 0.5161 Ho
0.9353 0.7502 0.4839 Ho
0.9353 0.7498 0.9839 Ho
0.4598 0.7446 0.1110 Er
0.4598 0.7554 0.6110 Er
0.5402 0.2446 0.3890 Er
0.5402 0.2554 0.8890 Er
0.2128 0.5438 0.8000 Pd
0.2128 0.9562 0.3000 Pd
0.7872 0.0438 0.7000 Pd
0.7872 0.4562 0.2000 Pd
```

Properties
E above lowest polymorph ... 65 meV/atom
Energy relative to the elements ... -526 meV per atom
D(E_F) ... 1.01 states/eV/atom



9.
The following is a PBE calculation of a relaxed Er8Ga2Pt crystal, from Alexandria via LeMat-Bulk.

Geometry as POSCAR:
```
Er8Ga2Pt
1.0
9.2106 -2.4497 0.0000
9.2106 2.4497 0.0000
-1.3648 0.0000 6.3681
Er Ga Pt
8 2 1
Direct
0.0258 0.0258 0.2779 Er
0.2111 0.2111 0.8229 Er
0.3465 0.3465 0.5184 Er
0.4098 0.4098 0.0464 Er
0.5902 0.5902 0.9536 Er
0.6535 0.6535 0.4816 Er
0.7889 0.7889 0.1771 Er
0.9742 0.9742 0.7221 Er
0.1878 0.1878 0.2596 Ga
0.8122 0.8122 0.7404 Ga
0.5000 0.5000 0.5000 Pt
```

Properties
Energy relative to the elements ... -453 meV per atom
D(E_F) ... 0.86 states/eV/atom



10.
The following is a PBE calculation of a relaxed Zr2ScTlRe crystal, from Alexandria via LeMat-Bulk.

Geometry as POSCAR:
```
Zr2ScTlRe
1.0
5.0696 0.0000 0.0000
0.0000 5.0696 0.0000
0.0000 0.0000 4.6297
Zr Sc Tl Re
2 1 1 1
Direct
0.0000 0.5000 0.0000 Zr
0.5000 0.0000 0.0000 Zr
0.0000 0.0000 0.0000 Sc
0.5000 0.5000 0.5000 Tl
0.0000 0.0000 0.5000 Re
```

Properties
Energy relative to the elements ... 1305 meV per atom
D(E_F) ... 1.33 states/eV/atom



11.
The following is a PBE calculation of a relaxed CsZnBiAu3 crystal, from Alexandria via LeMat-Bulk.

Geometry as POSCAR:
```
CsZnBiAu3
1.0
7.2810 0.0000 0.0000
0.0000 7.3320 0.0000
-3.6338 0.0000 7.0003
Cs Zn Bi Au
2 2 2 6
Direct
0.2359 0.2500 0.4718 Cs
0.7641 0.7500 0.5282 Cs
0.0917 0.7500 0.1833 Zn
0.9083 0.2500 0.8167 Zn
0.4707 0.7500 0.9411 Bi
0.5293 0.2500 0.0589 Bi
0.1928 0.0003 0.0002 Au
0.1928 0.4997 0.0002 Au
0.2708 0.7500 0.5418 Au
0.7292 0.2500 0.4582 Au
0.8072 0.9997 0.9998 Au
0.8072 0.5003 0.9998 Au
```

Properties
Energy relative to the elements ... -197 meV per atom
D(E_F) ... 0.18 states/eV/atom



12.
The following is a PBE calculation of a relaxed Pm2NpAg3Te6 crystal, from Alexandria via LeMat-Bulk.

Geometry as POSCAR:
```
Pm2NpAg3Te6
1.0
10.0628 -2.2436 0.0000
10.0628 2.2436 0.0000
-1.8432 0.0000 8.2526
Pm Np Ag Te
2 1 3 6
Direct
0.1728 0.1728 0.3111 Pm
0.8272 0.8272 0.6889 Pm
0.5000 0.5000 0.0000 Np
0.2099 0.2099 0.7650 Ag
0.5000 0.5000 0.5000 Ag
0.7901 0.7901 0.2350 Ag
0.0121 0.0121 0.2625 Te
0.3385 0.3385 0.4254 Te
0.3411 0.3411 0.9577 Te
0.6589 0.6589 0.0423 Te
0.6615 0.6615 0.5746 Te
0.9879 0.9879 0.7375 Te
```

Properties
ΔE_f (raw) ... -697 meV per atom
D(E_F) ... 0.62 states/eV/atom



> What is the formula in the fifth record?

NiRuBr2



> What is the D(E_F) in the tenth record?

1.33 states/eV/atom



> Among the records above, which one has the highest D(E_F)?

La12MgPb3